TaMnS3Cl | PBE-GGA | relaxed

Cell lengths 3.467, 8.791, 9.819 Å; angles 90.00, 90.00, 101.37 degrees
Each line ends with the local moment (μB).
Fractional positions:
Ta 0.000 0.000 0.500  0.13
Ta 0.000 0.000 0.000  0.13
Mn 0.386 0.771 0.750  3.98
Mn 0.614 0.229 0.250  3.98
S 0.601 0.202 0.994  0.00
S 0.399 0.798 0.006  0.00
S 0.399 0.798 0.494  0.00
S 0.601 0.202 0.506  0.00
S 0.994 0.987 0.750  0.00
S 0.006 0.013 0.250  0.00
Cl 0.210 0.421 0.250  0.09
Cl 0.790 0.579 0.750  0.09

Summary:
DOS(E_F): 0.486 states/eV per atom
ρ: 4.16 Mg/m³
Spin magnetization: 0.76 μB/atom
E: -6.71 eV/atom
Formation energy (no corrections): -831 meV per atom